(1)
Compound: Pm6Co2AuBr3
Source: Alexandria via LeMat-Bulk
Functional: GGA-PBE
Structure: relaxed

DOS(E_F) ... 9.07 states/eV/cell
Space-group type ... C2/m
Raw total energy ... -60.8 eV/cell
Energy relative to the elements, uncorrected ... -0.815 eV/atom

Lattice parameters (Å, degrees): 9.9205 9.9205 9.0874 109.90 109.90 23.63
Last column: nearest neighbours and their distance in Å.
Element x y z (fractional)
1 Pm 0.0252 0.0252 0.2497  1 Co 2.62
2 Pm 0.3170 0.3170 0.4408  3 Co 2.70-2.79
3 Pm 0.3367 0.3367 0.8674  2 Co 2.75, 1 Au 2.98
4 Pm 0.6633 0.6633 0.1326  2 Co 2.75, 1 Au 2.98
5 Pm 0.6830 0.6830 0.5592  3 Co 2.70-2.79
6 Pm 0.9748 0.9748 0.7503  1 Co 2.62
7 Co 0.1690 0.1690 0.3407  6 Pm 2.62-2.79
8 Co 0.8310 0.8310 0.6593  6 Pm 2.62-2.79
9 Au 0.5000 0.5000 0.0000  6 Pm 2.96-2.98
10 Br 0.1660 0.1660 0.8365  6 Pm 3.23-3.52
11 Br 0.5000 0.5000 0.5000  6 Pm 3.21-3.40
12 Br 0.8340 0.8340 0.1635  6 Pm 3.23-3.52

---

(2)
Compound: Pr6Co2AuBr3
Source: Alexandria via LeMat-Bulk
Functional: GGA-PBE
Structure: relaxed

DOS(E_F) ... 9.28 states/eV/cell
Space-group type ... C2/m
Raw total energy ... -60.8 eV/cell
Energy relative to the elements, uncorrected ... -0.802 eV/atom

Lattice parameters (Å, degrees): 10.0294 10.0294 9.2229 110.04 110.04 23.81
Last column: nearest neighbours and their distance in Å.
Element x y z (fractional)
1 Pr 0.0238 0.0238 0.2488  1 Co 2.66
2 Pr 0.3170 0.3170 0.4418  3 Co 2.73-2.84
3 Pr 0.3366 0.3366 0.8698  2 Co 2.80, 1 Au 3.00
4 Pr 0.6634 0.6634 0.1302  2 Co 2.80, 1 Au 3.00
5 Pr 0.6830 0.6830 0.5582  3 Co 2.73-2.84
6 Pr 0.9762 0.9762 0.7512  1 Co 2.66
7 Co 0.1684 0.1684 0.3386  6 Pr 2.66-2.84
8 Co 0.8316 0.8316 0.6614  6 Pr 2.66-2.84
9 Au 0.5000 0.5000 0.0000  6 Pr 3.00
10 Br 0.1654 0.1654 0.8355  6 Pr 3.26-3.52
11 Br 0.5000 0.5000 0.5000  6 Pr 3.26-3.44
12 Br 0.8346 0.8346 0.1645  6 Pr 3.26-3.52

---

(3)
Compound: Pr4CoAuBr2
Source: Alexandria via LeMat-Bulk
Functional: GGA-PBE
Structure: relaxed

DOS(E_F) ... 6.90 states/eV/cell
Space-group type ... P2/m
Raw total energy ... -39.6 eV/cell
Energy relative to the elements, uncorrected ... -0.841 eV/atom

Lattice parameters (Å, degrees): 7.4191 4.1610 8.1593 90.00 107.49 90.00
Last column: nearest neighbours and their distance in Å.
Element x y z (fractional)
1 Pr 0.2223 0.0000 0.1968  2 Co 2.83, 1 Au 2.97
2 Pr 0.2287 0.5000 0.7999  1 Co 2.69
3 Pr 0.7713 0.5000 0.2001  1 Co 2.69
4 Pr 0.7777 0.0000 0.8032  2 Co 2.83, 1 Au 2.97
5 Co 0.0000 0.5000 0.0000  6 Pr 2.69-2.83
6 Au 0.5000 0.0000 0.0000  6 Pr 2.97-3.01
7 Br 0.0000 0.0000 0.5000  6 Pr 3.27-3.36
8 Br 0.5000 0.5000 0.5000  6 Pr 3.41-3.61

---

(4)
Compound: CoRe2AuBr
Source: Alexandria via LeMat-Bulk
Functional: GGA-PBE
Structure: relaxed

DOS(E_F) ... 9.53 states/eV/cell
Space-group type ... P4/mmm
Raw total energy ... -24.8 eV/cell
Energy relative to the elements, uncorrected ... 2.432 eV/atom

Lattice parameters (Å, degrees): 5.1581 5.1581 4.7900 90.00 90.00 90.00
Last column: nearest neighbours and their distance in Å.
Element x y z (fractional)
1 Co 0.0000 0.0000 0.0000  2 Au 2.39
2 Re 0.0000 0.5000 0.5000  2 Au 2.58
3 Re 0.5000 0.0000 0.5000  2 Au 2.58
4 Au 0.0000 0.0000 0.5000  2 Co 2.39, 4 Re 2.58
5 Br 0.5000 0.5000 0.0000  8 Re 3.52, 4 Co 3.65

---

(5)
Compound: CoReAu2Br
Source: Alexandria via LeMat-Bulk
Functional: GGA-PBE
Structure: relaxed

DOS(E_F) ... 5.52 states/eV/cell
Space-group type ... P4/mmm
Raw total energy ... -18.2 eV/cell
Energy relative to the elements, uncorrected ... 1.917 eV/atom

Lattice parameters (Å, degrees): 5.0772 5.0772 4.2644 90.00 90.00 90.00
Last column: nearest neighbours and their distance in Å.
Element x y z (fractional)
1 Co 0.0000 0.0000 0.0000  2 Br 2.13
2 Re 0.5000 0.5000 0.0000  8 Au 3.32, 4 Co 3.59
3 Au 0.0000 0.5000 0.5000  2 Br 2.54
4 Au 0.5000 0.0000 0.5000  2 Br 2.54
5 Br 0.0000 0.0000 0.5000  2 Co 2.13

---

(6)
Compound: Co2RuAuBr
Source: Alexandria via LeMat-Bulk
Functional: GGA-PBE
Structure: relaxed

DOS(E_F) ... 11.45 states/eV/cell
Space-group type ... P4/mmm
Raw total energy ... -20.1 eV/cell
Energy relative to the elements, uncorrected ... 1.672 eV/atom

Lattice parameters (Å, degrees): 4.7576 4.7576 5.0150 90.00 90.00 90.00
Last column: nearest neighbours and their distance in Å.
Element x y z (fractional)
1 Co 0.0000 0.5000 0.0000  2 Au 2.38
2 Co 0.5000 0.0000 0.0000  2 Au 2.38
3 Ru 0.0000 0.0000 0.5000  2 Au 2.51
4 Au 0.0000 0.0000 0.0000  4 Co 2.38, 2 Ru 2.51
5 Br 0.5000 0.5000 0.5000  4 Ru 3.36, 8 Co 3.46